A plane-wave DFT calculation with GGA-PBE was carried out for a relaxed structure of LuMgInNi.

Geometry as POSCAR:
```
LuMgInNi
1.0
0.000 3.413 3.413
3.413 0.000 3.413
3.413 3.413 0.000
Lu Mg In Ni
1 1 1 1
Cartesian
0.000 0.000 0.000
3.413 3.413 3.413
1.706 1.706 1.706
5.119 5.119 5.119
```

Its calculated volume is 19.88 Å³ per atom. The calculation puts the total magnetic moment at 0.005 μB per cell. Its density is 7785 kg/m3. Its crystal system is cubic. The symmetry is No. 216. Its calculated total energy is -15.32 eV per formula unit.

=====

A plane-wave DFT calculation with GGA-PBE was carried out for a relaxed structure of Tb2ErCo2B2P3.

Geometry as POSCAR:
```
Tb2ErCo2B2P3
1.0
-1.930 1.930 10.898
1.930 -1.930 10.898
1.930 1.930 -10.898
Tb Er Co B P
2 1 2 2 3
Cartesian
0.000 0.000 3.009
0.000 0.000 18.788
0.000 0.000 10.898
1.930 0.000 5.449
0.000 1.930 5.449
0.000 0.000 6.221
0.000 0.000 15.575
0.000 0.000 0.000
0.000 0.000 8.193
0.000 0.000 13.604
```

Its calculated volume is 16.24 Å³ per atom. The calculation puts the total magnetic moment at 0.004 μB per cell. Its density is 7336 kg/m3. Its crystal system is tetragonal. The symmetry is No. 139. Its calculated total energy is -66.55 eV per formula unit.

=====

A plane-wave DFT calculation with GGA-PBE was carried out for a relaxed structure of Nb2Ni3Mo4N3.

Geometry as POSCAR:
```
Nb2Ni3Mo4N3
1.0
4.356 -2.541 0.000
4.356 2.541 0.000
-2.879 0.000 13.359
Nb Ni Mo N
4 6 8 6
Cartesian
2.181 2.117 8.264
2.212 2.117 11.775
3.620 -2.117 1.584
3.652 -2.117 5.095
0.323 0.992 9.999
3.636 0.832 3.340
1.762 -0.992 3.319
4.071 0.992 10.040
2.197 -0.832 10.019
5.510 -0.992 3.360
2.216 0.436 1.243
2.186 0.380 5.444
0.776 -0.436 7.922
0.746 -0.380 12.124
5.086 0.380 1.235
5.057 0.436 5.437
3.647 -0.380 7.915
3.617 -0.436 12.116
0.738 1.271 6.679
0.812 1.391 13.357
3.581 1.391 6.681
2.178 -1.271 0.000
2.252 -1.391 6.678
5.021 -1.391 0.002
```

Its calculated volume is 12.32 Å³ per atom. The calculation puts the total magnetic moment at 0.038 μB per cell. Its density is 8844 kg/m3. Its crystal system is monoclinic. The symmetry is No. 15. Its calculated total energy is -108.06 eV per formula unit.

=====

A plane-wave DFT calculation with GGA-PBE was carried out for a relaxed structure of Ag2TeO4.

Geometry as POSCAR:
```
Ag2TeO4
1.0
0.000 5.202 6.544
3.107 0.000 6.544
3.107 5.202 0.000
Ag Te O
4 2 8
Cartesian
2.330 0.448 4.908
3.884 3.050 8.180
2.330 7.355 4.908
3.884 9.956 8.180
2.330 3.902 4.908
3.884 6.503 8.180
3.334 2.756 5.973
3.334 5.048 3.842
4.888 5.357 7.114
1.326 2.756 3.842
4.888 7.649 9.245
1.326 5.048 5.973
2.880 5.357 9.245
2.880 7.649 7.114
```

Its calculated volume is 15.11 Å³ per atom. Its density is 6395 kg/m3. Its crystal system is orthorhombic. The symmetry is No. 70. Its calculated total energy is -31.86 eV per formula unit.

=====

A plane-wave DFT calculation with GGA-PBE was carried out for a relaxed structure of RbErZn.

Geometry as POSCAR:
```
RbErZn
1.0
0.000 3.811 3.811
3.811 0.000 3.811
3.811 3.811 0.000
Rb Er Zn
1 1 1
Cartesian
0.000 0.000 0.000
3.811 3.811 3.811
5.717 5.717 5.717
```

Its calculated volume is 36.91 Å³ per atom. The calculation puts the total magnetic moment at 0.002 μB per cell. Its density is 4771 kg/m3. Its crystal system is cubic. The symmetry is No. 216. Its calculated total energy is -4.86 eV per formula unit.

=====

A plane-wave DFT calculation with GGA-PBE was carried out for a relaxed structure of OsPdNO.

Geometry as POSCAR:
```
OsPdNO
1.0
3.820 0.000 0.000
0.000 3.820 0.000
0.000 0.000 6.254
Os Pd N O
2 2 2 2
Cartesian
0.955 2.865 0.000
2.865 0.955 0.000
0.955 0.955 2.145
2.865 2.865 4.109
0.955 0.955 5.413
2.865 2.865 0.841
0.955 2.865 3.127
2.865 0.955 3.127
```

Its calculated volume is 11.41 Å³ per atom. The calculation puts the total magnetic moment at 0.004 μB per cell. Its density is 11888 kg/m3. Its crystal system is tetragonal. The symmetry is No. 129. Its calculated total energy is -27.46 eV per formula unit.